Er2Ge2BOs2 | PBE-GGA | relaxed

a b c (Å): 5.8788 5.8788 6.8743
angles (deg): 125.28 125.28 42.04
Closest atoms and distances in Å follow each position.
Fractional positions:
Er: 0.0641 0.0641 0.3336  2 B 2.69
Er: 0.9359 0.9359 0.6664  2 B 2.69
Ge: 0.3473 0.3473 0.8873  3 Os 2.45-2.50, 1 Ge 2.69
Ge: 0.6527 0.6527 0.1127  3 Os 2.45-2.50, 1 Ge 2.69
B: 0.5000 0.5000 0.5000  2 Os 1.96
Os: 0.2891 0.2891 0.1864  1 B 1.96
Os: 0.7109 0.7109 0.8136  1 B 1.96

The formation enthalpy at 0 K is -0.625 eV per atom. As for the raw total energy: -7.411 eV per atom.